*i*
# La3Dy6Y

An optimized crystal structure of La3Dy6Y (PBE, the Alexandria database).

The total magnetization is 0.0001 μB per atom.

The space group is R-3 (No. 148, hexagonal axes) and the conventional cell measures 9.9534, 9.9534 and 11.6755 Å, with angles of 90.00, 90.00 and 120.00 degrees. The distinct sites, in fractional coordinates, are La at (0.0000, 0.0000, 0.0000), La at (0.0000, 0.0000, 0.2476), Dy at (0.0036, 0.6772, 0.2514) and Y at (0.0000, 0.0000, 0.5000).

*ii*
# La3Dy6Y

An optimized crystal structure of La3Dy6Y (PBE, the Alexandria database).

The total magnetization is 0.0000 μB per atom.

The space group is Cmc2_1 (No. 36) and the conventional cell measures 10.972, 19.097 and 6.419 Å, with angles of 90.00, 90.00 and 90.00 degrees. The distinct sites, in fractional coordinates, are La at (0.000, 0.112, 0.000), La at (0.176, 0.385, 0.602), Dy at (0.000, 0.227, 0.423), Dy at (0.000, 0.467, 0.213), Dy at (0.171, 0.047, 0.523), Dy at (0.236, 0.211, 0.706) and Y at (0.000, 0.312, 0.955).

Which one is most stable, and which one is least stable? *ii* is the most stable of them, while *i* is the least stable.

*i*
# La2Dy5Y

An optimized crystal structure of La2Dy5Y (PBE, the Alexandria database).

The total magnetization is 0.0000 μB per atom.

The space group is C2/c (No. 15) and the conventional cell measures 16.053, 9.914 and 6.699 Å, with angles of 90.00, 98.77 and 90.00 degrees. The distinct sites, in fractional coordinates, are La at (0.071, 0.249, 0.105), Dy at (0.000, 0.068, 0.750), Dy at (0.104, 0.421, 0.658), Dy at (0.194, 0.093, 0.526) and Y at (0.250, 0.250, 0.000).

*ii*
# La2Dy5Y

An optimized crystal structure of La2Dy5Y (PBE, the Alexandria database).

The total magnetization is 0.0000 μB per atom.

The space group is Pbam (No. 55) and the conventional cell measures 7.191, 14.382 and 5.101 Å, with angles of 90.00, 90.00 and 90.00 degrees. The distinct sites, in fractional coordinates, are La at (0.250, 0.126, 0.000), Dy at (0.000, 0.000, 0.500), Dy at (0.001, 0.250, 0.500), Dy at (0.248, 0.875, 0.000) and Y at (0.000, 0.500, 0.500).

Which one is most stable, and which one is least stable? *ii* is the most stable of them, while *i* is the least stable.

*i*
# LaDy6Y

An optimized crystal structure of LaDy6Y (PBE, the Alexandria database).

The total magnetization is 0.0000 μB per atom.

The space group is P4/mmm (No. 123) and the conventional cell measures 5.058, 5.058 and 10.104 Å, with angles of 90.00, 90.00 and 90.00 degrees. The distinct sites, in fractional coordinates, are La at (0.000, 0.000, 0.000), Dy at (0.000, 0.500, 0.253), Dy at (0.500, 0.500, 0.000), Dy at (0.500, 0.500, 0.500) and Y at (0.000, 0.000, 0.500).

*ii*
# LaDy6Y

An optimized crystal structure of LaDy6Y (PBE, the Alexandria database).

The total magnetization is 0.0000 μB per atom.

The space group is C2/m (No. 12) and the conventional cell measures 9.531, 6.900 and 9.014 Å, with angles of 90.00, 103.61 and 90.00 degrees. The distinct sites, in fractional coordinates, are La at (0.000, 0.000, 0.000), Dy at (0.125, 0.500, 0.922), Dy at (0.213, 0.259, 0.298) and Y at (0.000, 0.500, 0.500).

Which one is most stable, and which one is least stable? *i* is the most stable of them, while *ii* is the least stable.

*i*
# La6Dy2Y

An optimized crystal structure of La6Dy2Y (PBE, the Alexandria database).

The total magnetization is 0.0000 μB per atom.

The space group is Cmmm (No. 65) and the conventional cell measures 9.507, 17.920 and 3.706 Å, with angles of 90.00, 90.00 and 90.00 degrees. The distinct sites, in fractional coordinates, are La at (0.172, 0.166, 0.000), La at (0.176, 0.000, 0.500), Dy at (0.000, 0.327, 0.500) and Y at (0.000, 0.500, 0.000).

*ii*
# La6Dy2Y

An optimized crystal structure of La6Dy2Y (PBE, the Alexandria database).

The total magnetization is 0.0000 μB per atom.

The space group is P-6m2 (No. 187) and the conventional cell measures 3.6626, 3.6626 and 27.6305 Å, with angles of 90.00, 90.00 and 120.00 degrees. The distinct sites, in fractional coordinates, are La at (0.0000, 0.0000, 0.0659), La at (0.0000, 0.0000, 0.2767), La at (0.3333, 0.6667, 0.3930), Dy at (0.3333, 0.6667, 0.1700) and Y at (0.0000, 0.0000, 0.5000).

Which one is most stable, and which one is least stable? *ii* is the most stable of them, while *i* is the least stable.

*i*
# LaDy3Y5

An optimized crystal structure of LaDy3Y5 (PBE, the Alexandria database).

The total magnetization is 0.0000 μB per atom.

The space group is I4/mcm (No. 140) and the conventional cell measures 8.669, 8.669 and 15.616 Å, with angles of 90.00, 90.00 and 90.00 degrees. The distinct sites, in fractional coordinates, are La at (0.000, 0.500, 0.250), Dy at (0.000, 0.000, 0.250), Dy at (0.119, 0.381, 0.000), Y at (0.000, 0.000, 0.000) and Y at (0.200, 0.300, 0.364).

*ii*
# LaDy3Y5

An optimized crystal structure of LaDy3Y5 (PBE, the Alexandria database).

The total magnetization is 0.0000 μB per atom.

The space group is C2/c (No. 15) and the conventional cell measures 19.214, 6.084 and 11.239 Å, with angles of 90.00, 112.54 and 90.00 degrees. The distinct sites, in fractional coordinates, are La at (0.000, 0.126, 0.250), Dy at (0.000, 0.000, 0.000), Dy at (0.177, 0.228, 0.365), Y at (0.000, 0.391, 0.750), Y at (0.164, 0.254, 0.696) and Y at (0.168, 0.264, 0.030).

Which one is most stable, and which one is least stable? *i* is the most stable of them, while *ii* is the least stable.

*i*
# La2Dy7Y2

An optimized crystal structure of La2Dy7Y2 (PBE, the Alexandria database).

The total magnetization is 0.0033 μB per atom.

The space group is Cmmm (No. 65) and the conventional cell measures 6.545, 12.193 and 9.465 Å, with angles of 90.00, 90.00 and 90.00 degrees. The distinct sites, in fractional coordinates, are La at (0.247, 0.000, 0.000), Dy at (0.000, 0.000, 0.317), Dy at (0.000, 0.500, 0.500), Dy at (0.250, 0.250, 0.184) and Y at (0.000, 0.224, 0.500).

*ii*
# La2Dy7Y2

An optimized crystal structure of La2Dy7Y2 (PBE, the Alexandria database).

The total magnetization is 0.0000 μB per atom.

The space group is Immm (No. 71) and the conventional cell measures 3.613, 11.654 and 17.424 Å, with angles of 90.00, 90.00 and 90.00 degrees. The distinct sites, in fractional coordinates, are La at (0.000, 0.224, 0.000), Dy at (0.000, 0.000, 0.124), Dy at (0.000, 0.000, 0.500), Dy at (0.000, 0.252, 0.331) and Y at (0.000, 0.500, 0.197).

Which one is most stable, and which one is least stable? *ii* is the most stable of them, while *i* is the least stable.

*i*
# La3Dy8Y2

An optimized crystal structure of La3Dy8Y2 (PBE, the Alexandria database).

The total magnetization is 0.0000 μB per atom.

The space group is C2/m (No. 12) and the conventional cell measures 20.243, 7.753 and 5.669 Å, with angles of 90.00, 90.11 and 90.00 degrees. The distinct sites, in fractional coordinates, are La at (0.000, 0.000, 0.000), La at (0.000, 0.299, 0.500), Dy at (0.109, 0.292, 0.001), Dy at (0.136, 0.000, 0.499), Dy at (0.173, 0.500, 0.502) and Y at (0.241, 0.000, 0.997).

*ii*
# La3Dy8Y2

An optimized crystal structure of La3Dy8Y2 (PBE, the Alexandria database).

The total magnetization is 0.0000 μB per atom.

The space group is C2/m (No. 12) and the conventional cell measures 20.941, 5.083 and 8.055 Å, with angles of 90.00, 94.29 and 90.00 degrees. The distinct sites, in fractional coordinates, are La at (0.000, 0.000, 0.000), La at (0.039, 0.500, 0.305), Dy at (0.079, 0.000, 0.613), Dy at (0.118, 0.500, 0.919), Dy at (0.157, 0.000, 0.232), Dy at (0.193, 0.500, 0.540) and Y at (0.231, 0.000, 0.846).

Which one is most stable, and which one is least stable? *ii* is the most stable of them, while *i* is the least stable.

*i*
# La2Dy3Y2

An optimized crystal structure of La2Dy3Y2 (PBE, the Alexandria database).

The total magnetization is 0.0000 μB per atom.

The space group is P-1 (No. 2) and the conventional cell measures 3.623, 6.210 and 10.834 Å, with angles of 95.17, 90.03 and 106.90 degrees. The distinct sites, in fractional coordinates, are La at (0.214, 0.428, 0.355), Dy at (0.357, 0.715, 0.931), Dy at (0.500, 0.000, 0.500) and Y at (0.071, 0.140, 0.790).

*ii*
# La2Dy3Y2

An optimized crystal structure of La2Dy3Y2 (PBE, the Alexandria database).

The total magnetization is 0.0000 μB per atom.

The space group is C2/m (No. 12) and the conventional cell measures 17.780, 3.536 and 8.621 Å, with angles of 90.00, 118.96 and 90.00 degrees. The distinct sites, in fractional coordinates, are La at (0.067, 0.000, 0.220), Dy at (0.000, 0.500, 0.500), Dy at (0.212, 0.500, 0.625) and Y at (0.152, 0.500, 0.964).

Which one is most stable, and which one is least stable? *i* is the most stable of them, while *ii* is the least stable.

*i*
# LaDy2Y2

An optimized crystal structure of LaDy2Y2 (PBE, the Alexandria database).

The total magnetization is 0.0012 μB per atom.

The space group is I4/mmm (No. 139) and the conventional cell measures 3.603, 3.603 and 25.348 Å, with angles of 90.00, 90.00 and 90.00 degrees. The distinct sites, in fractional coordinates, are La at (0.000, 0.000, 0.000), Dy at (0.000, 0.000, 0.398) and Y at (0.000, 0.000, 0.200).

*ii*
# LaDy2Y2

An optimized crystal structure of LaDy2Y2 (PBE, the Alexandria database).

The total magnetization is 0.0000 μB per atom.

The space group is P4/mbm (No. 127) and the conventional cell measures 9.485, 9.485 and 3.763 Å, with angles of 90.00, 90.00 and 90.00 degrees. The distinct sites, in fractional coordinates, are La at (0.000, 0.000, 0.000), Dy at (0.124, 0.376, 0.000) and Y at (0.172, 0.672, 0.500).

Which one is most stable, and which one is least stable? *i* is the most stable of them, while *ii* is the least stable.

*i*
# La2Dy6Y

An optimized crystal structure of La2Dy6Y (PBE, the Alexandria database).

The total magnetization is 0.0000 μB per atom.

The space group is C2/m (No. 12) and the conventional cell measures 9.163, 17.704 and 3.692 Å, with angles of 90.00, 99.81 and 90.00 degrees. The distinct sites, in fractional coordinates, are La at (0.000, 0.168, 0.000), Dy at (0.163, 0.335, 0.337), Dy at (0.165, 0.500, 0.837) and Y at (0.000, 0.000, 0.500).

*ii*
# La2Dy6Y

An optimized crystal structure of La2Dy6Y (PBE, the Alexandria database).

The total magnetization is 0.0425 μB per atom.

The space group is P-6m2 (No. 187) and the conventional cell measures 3.5977, 3.5977 and 26.6211 Å, with angles of 90.00, 90.00 and 120.00 degrees. The distinct sites, in fractional coordinates, are La at (0.0000, 0.0000, 0.1713), Dy at (0.0000, 0.0000, 0.3924), Dy at (0.6667, 0.3333, 0.0622), Dy at (0.6667, 0.3333, 0.2874) and Y at (0.6667, 0.3333, 0.5000).

Which one is most stable, and which one is least stable? *ii* is the most stable of them, while *i* is the least stable.